# 1
First-principles (PBE) data for an optimized crystal structure of NaHfTlI6, as listed in Alexandria via LeMat-Bulk.

a b c (Å): 7.9749 7.9749 14.5734
angles (deg): 90.00 90.00 120.00
Last column: nearest neighbours and their distance in Å.
Fractional positions:
Na 0.3333 0.6667 0.2500  6 I 3.22
Na 0.6667 0.3333 0.7500  6 I 3.22
Hf 0.3333 0.6667 0.7500  6 I 2.86
Hf 0.6667 0.3333 0.2500  6 I 2.86
Tl 0.0000 0.0000 0.0000  6 I 3.53
Tl 0.0000 0.0000 0.5000  6 I 3.53
I 0.0338 0.3831 0.6356  1 Hf 2.86
I 0.0338 0.6507 0.8644  1 Hf 2.86
I 0.3493 0.3831 0.8644  1 Hf 2.86
I 0.3493 0.9662 0.6356  1 Hf 2.86
I 0.3831 0.0338 0.1356  1 Hf 2.86
I 0.3831 0.3493 0.3644  1 Hf 2.86
I 0.6169 0.6507 0.6356  1 Hf 2.86
I 0.6169 0.9662 0.8644  1 Hf 2.86
I 0.6507 0.0338 0.3644  1 Hf 2.86
I 0.6507 0.6169 0.1356  1 Hf 2.86
I 0.9662 0.3493 0.1356  1 Hf 2.86
I 0.9662 0.6169 0.3644  1 Hf 2.86

Calculated values
SG = No. 163
total energy = -3.47 eV per atom



# 2
First-principles (PBE) data for an optimized crystal structure of LiTbIn3, as listed in Alexandria via LeMat-Bulk.

a b c (Å): 6.8673 6.8673 5.8393
angles (deg): 90.00 90.00 120.00
Last column: nearest neighbours and their distance in Å.
Fractional positions:
Li 0.0000 0.0000 0.0000  6 In 2.67, 2 Li 2.92
Li 0.0000 0.0000 0.5000  6 In 2.67, 2 Li 2.92
Tb 0.3333 0.6667 0.2500  12 In 3.39-3.44
Tb 0.6667 0.3333 0.7500  12 In 3.39-3.44
In 0.1883 0.3766 0.7500  2 Li 2.67, 2 In 2.99
In 0.1883 0.8117 0.7500  2 Li 2.67, 2 In 2.99
In 0.3766 0.1883 0.2500  2 Li 2.67, 2 In 2.99
In 0.6234 0.8117 0.7500  2 Li 2.67, 2 In 2.99
In 0.8117 0.1883 0.2500  2 Li 2.67, 2 In 2.99
In 0.8117 0.6234 0.2500  2 Li 2.67, 2 In 2.99

Calculated values
SG = No. 194
energy of formation = -0.23 eV per atom



# 3
First-principles (PBE) data for an optimized crystal structure of YTa2Ni2, as listed in Alexandria via LeMat-Bulk.

a b c (Å): 5.8016 5.8016 5.8016
angles (deg): 134.91 134.91 65.67
Last column: nearest neighbours and their distance in Å.
Fractional positions:
Y 0.0000 0.0000 0.0000  8 Ni 3.30, 10 Ta 3.45-3.46
Ta 0.3544 0.3544 0.0000  4 Ni 2.45
Ta 0.6456 0.6456 0.0000  4 Ni 2.45
Ni 0.2500 0.7500 0.5000  4 Ta 2.45
Ni 0.7500 0.2500 0.5000  4 Ta 2.45

Calculated values
SG = No. 139
energy of formation = 0.15 eV per atom
offset from the most stable computed form = 234.0 meV/atom